*w*
Compound: Ac6In2Si
Source: Alexandria via LeMat-Bulk
Functional: PBE
Structure: relaxed

a b c (Å): 8.9632 8.9632 4.7391
angles (deg): 90.00 90.00 120.00
Space group P-62m (No. 189)
Inequivalent atoms, fractional coordinates:
Ac 0.0000 0.2501 0.0000 [3 per cell]
Ac 0.0000 0.6016 0.5000 [3 per cell]
In 0.3333 0.6667 0.0000 [2 per cell]
Si 0.0000 0.0000 0.5000 [1 per cell]

Results
The value obtained for the magnetization is 0.85 μB per formula unit.

*x*
Compound: Ac6In2Si
Source: Alexandria via LeMat-Bulk
Functional: PBE
Structure: relaxed

a b c (Å): 6.8016 9.4524 12.8253
angles (deg): 90.00 121.93 90.00
Space group P2_1/c (No. 14)
Inequivalent atoms, fractional coordinates:
Ac 0.0643 0.1669 0.4422 [4 per cell]
Ac 0.3231 0.6856 0.4408 [4 per cell]
Ac 0.3355 0.0352 0.2286 [4 per cell]
In 0.1845 0.1216 0.7555 [4 per cell]
Si 0.5000 0.0000 0.5000 [2 per cell]

Results
The value obtained for the magnetization is 0.00 μB per formula unit.

Which of them is least stable? Easy: *x*.

*w*
Compound: AcSmIn
Source: Alexandria via LeMat-Bulk
Functional: PBE
Structure: relaxed

a b c (Å): 4.9923 4.9923 8.5513
angles (deg): 90.00 90.00 90.00
Space group P4/nmm (No. 129, origin choice 2)
Inequivalent atoms, fractional coordinates:
Ac 0.2500 0.2500 0.1484 [2 per cell]
Sm 0.2500 0.7500 0.5000 [2 per cell]
In 0.2500 0.2500 0.7508 [2 per cell]

Results
The value obtained for the magnetization is 0.52 μB per formula unit.

*x*
Compound: AcSmIn
Source: Alexandria via LeMat-Bulk
Functional: PBE
Structure: relaxed

a b c (Å): 5.4808 5.4808 3.9801
angles (deg): 90.00 90.00 120.00
Space group P3m1 (No. 156)
Inequivalent atoms, fractional coordinates:
Ac 0.0000 0.0000 0.0000 [1 per cell]
Sm 0.6667 0.3333 0.5448 [1 per cell]
In 0.3333 0.6667 0.4151 [1 per cell]

Results
The value obtained for the magnetization is 0.00 μB per formula unit.

*y*
Compound: AcSmIn
Source: Alexandria via LeMat-Bulk
Functional: PBE
Structure: relaxed

a b c (Å): 3.8229 3.8229 14.1370
angles (deg): 90.00 90.00 90.00
Space group I4mm (No. 107)
Inequivalent atoms, fractional coordinates:
Ac 0.0000 0.0000 0.0000 [2 per cell]
Sm 0.0000 0.0000 0.6973 [2 per cell]
In 0.0000 0.0000 0.3317 [2 per cell]

Results
The value obtained for the magnetization is 0.00 μB per formula unit.

Which of them is least stable? Easy: *x*.

*w*
Compound: AcSmIn
Source: Alexandria via LeMat-Bulk
Functional: PBE
Structure: relaxed

a b c (Å): 7.7394 7.7394 7.7394
angles (deg): 90.00 90.00 90.00
Space group F-43m (No. 216)
Inequivalent atoms, fractional coordinates:
Ac 0.0000 0.0000 0.0000 [4 per cell]
Sm 0.0000 0.0000 0.5000 [4 per cell]
In 0.2500 0.2500 0.7500 [4 per cell]

Results
The value obtained for the magnetization is 0.30 μB per formula unit.

*x*
Compound: AcSmIn
Source: Alexandria via LeMat-Bulk
Functional: PBE
Structure: relaxed

a b c (Å): 5.4424 5.4424 7.9564
angles (deg): 90.00 90.00 120.00
Space group P-3m1 (No. 164)
Inequivalent atoms, fractional coordinates:
Ac 0.3333 0.6667 0.3831 [2 per cell]
Sm 0.3333 0.6667 0.8995 [2 per cell]
In 0.0000 0.0000 0.2016 [2 per cell]

Results
The value obtained for the magnetization is 0.00 μB per formula unit.

Which of them is least stable? Easy: *w*.

*w*
Compound: AcSm2In2
Source: Alexandria via LeMat-Bulk
Functional: PBE
Structure: relaxed

a b c (Å): 5.1182 5.1182 26.7112
angles (deg): 90.00 90.00 90.00
Space group I4/mmm (No. 139)
Inequivalent atoms, fractional coordinates:
Ac 0.0000 0.0000 0.1275 [4 per cell]
Sm 0.0000 0.0000 0.4326 [4 per cell]
Sm 0.0000 0.5000 0.2500 [4 per cell]
In 0.0000 0.0000 0.3198 [4 per cell]
In 0.0000 0.5000 0.0000 [4 per cell]

Results
The value obtained for the magnetization is 0.00 μB per formula unit.

*x*
Compound: AcSm2In2
Source: Alexandria via LeMat-Bulk
Functional: PBE
Structure: relaxed

a b c (Å): 3.6406 24.4570 3.6587
angles (deg): 90.00 90.00 90.00
Space group Cmmm (No. 65)
Inequivalent atoms, fractional coordinates:
Ac 0.0000 0.0000 0.0000 [2 per cell]
Sm 0.0000 0.1845 0.0000 [4 per cell]
In 0.0000 0.3995 0.5000 [4 per cell]

Results
The value obtained for the magnetization is 0.53 μB per formula unit.

Which of them is least stable? Easy: *w*.

*w*
Compound: AcSm3In
Source: Alexandria via LeMat-Bulk
Functional: PBE
Structure: relaxed

a b c (Å): 8.1795 8.1795 6.3170
angles (deg): 90.00 90.00 120.00
Space group P6_3/mmc (No. 194)
Inequivalent atoms, fractional coordinates:
Ac 0.3333 0.6667 0.2500 [2 per cell]
Sm 0.1903 0.3806 0.7500 [6 per cell]
In 0.0000 0.0000 0.0000 [2 per cell]

Results
The value obtained for the magnetization is 0.00 μB per formula unit.

*x*
Compound: AcSm3In
Source: Alexandria via LeMat-Bulk
Functional: PBE
Structure: relaxed

a b c (Å): 5.9834 18.3735 5.9458
angles (deg): 90.00 90.00 90.00
Space group Cmcm (No. 63)
Inequivalent atoms, fractional coordinates:
Ac 0.0000 0.1487 0.2500 [4 per cell]
Sm 0.0000 0.0532 0.7500 [4 per cell]
Sm 0.0000 0.2512 0.7500 [4 per cell]
Sm 0.0000 0.4502 0.7500 [4 per cell]
In 0.0000 0.3519 0.2500 [4 per cell]

Results
The value obtained for the magnetization is 0.00 μB per formula unit.

Which of them is least stable? Easy: *w*.

*w*
Compound: Ac2Sm3In4
Source: Alexandria via LeMat-Bulk
Functional: PBE
Structure: relaxed

a b c (Å): 8.6719 8.7084 8.2943
angles (deg): 90.00 107.59 90.00
Space group P2_1/c (No. 14)
Inequivalent atoms, fractional coordinates:
Ac 0.1876 0.1776 0.0654 [4 per cell]
Sm 0.2448 0.6709 0.2499 [4 per cell]
Sm 0.5000 0.0000 0.5000 [2 per cell]
In 0.0814 0.5379 0.8637 [4 per cell]
In 0.4979 0.1234 0.8726 [4 per cell]

Results
The value obtained for the magnetization is 0.00 μB per formula unit.

*x*
Compound: Ac2Sm3In4
Source: Alexandria via LeMat-Bulk
Functional: PBE
Structure: relaxed

a b c (Å): 7.3206 17.4413 9.3460
angles (deg): 90.00 90.00 90.00
Space group Cmce (No. 64)
Inequivalent atoms, fractional coordinates:
Ac 0.0000 0.1099 0.0770 [8 per cell]
Sm 0.0000 0.0000 0.5000 [4 per cell]
Sm 0.2500 0.2200 0.7500 [8 per cell]
In 0.0000 0.1823 0.4627 [8 per cell]
In 0.2500 0.0406 0.7500 [8 per cell]

Results
The value obtained for the magnetization is 0.00 μB per formula unit.

Which of them is least stable? Easy: *x*.

*w*
Compound: Ac3SmIn
Source: Alexandria via LeMat-Bulk
Functional: PBE
Structure: relaxed

a b c (Å): 5.2558 27.0458 5.2526
angles (deg): 90.00 90.00 90.00
Space group Cmcm (No. 63)
Inequivalent atoms, fractional coordinates:
Ac 0.0000 0.0556 0.2500 [4 per cell]
Ac 0.0000 0.2503 0.2500 [4 per cell]
Ac 0.0000 0.4418 0.2500 [4 per cell]
Sm 0.0000 0.3469 0.7500 [4 per cell]
In 0.0000 0.1537 0.7500 [4 per cell]

Results
The value obtained for the magnetization is 0.00 μB per formula unit.

*x*
Compound: Ac3SmIn
Source: Alexandria via LeMat-Bulk
Functional: PBE
Structure: relaxed

a b c (Å): 12.2498 8.6511 7.5734
angles (deg): 90.00 90.00 90.00
Space group Ima2 (No. 46)
Inequivalent atoms, fractional coordinates:
Ac 0.0267 0.2500 0.0000 [8 per cell]
Ac 0.2500 0.0608 0.2491 [4 per cell]
Sm 0.2500 0.7494 0.4971 [4 per cell]
In 0.2500 0.0521 0.7476 [4 per cell]

Results
The value obtained for the magnetization is 0.00 μB per formula unit.

Which of them is least stable? Easy: *x*.

*w*
Compound: AcSm3In2
Source: Alexandria via LeMat-Bulk
Functional: PBE
Structure: relaxed

a b c (Å): 3.7204 3.7204 13.6338
angles (deg): 90.00 90.00 90.00
Space group P4/mmm (No. 123)
Inequivalent atoms, fractional coordinates:
Ac 0.0000 0.0000 0.0000 [1 per cell]
Sm 0.5000 0.5000 0.1991 [2 per cell]
Sm 0.5000 0.5000 0.5000 [1 per cell]
In 0.0000 0.0000 0.3471 [2 per cell]

Results
The value obtained for the magnetization is 0.00 μB per formula unit.

*x*
Compound: AcSm3In2
Source: Alexandria via LeMat-Bulk
Functional: PBE
Structure: relaxed

a b c (Å): 17.0166 5.5551 9.3044
angles (deg): 90.00 117.11 90.00
Space group C2/m (No. 12)
Inequivalent atoms, fractional coordinates:
Ac 0.1290 0.0000 0.1770 [4 per cell]
Sm 0.0627 0.0000 0.7140 [4 per cell]
Sm 0.1170 0.5000 0.5364 [4 per cell]
Sm 0.1966 0.5000 0.9935 [4 per cell]
In 0.0075 0.5000 0.1627 [4 per cell]
In 0.2265 0.0000 0.6009 [4 per cell]

Results
The value obtained for the magnetization is 0.00 μB per formula unit.

Which of them is least stable? Easy: *x*.